! Fe4TcF12 (GGA+U, optimized geometry); values from VASP
! total moment = 21.00 μB/cell
! space-group type = Immm (71)
! final energy = -5.46 eV per atom
&SYSTEM
  ibrav = 0, nat = 17, ntyp = 3
/
ATOMIC_SPECIES
Fe 55.84 Fe.upf
Tc 98.00 Tc.upf
F 19.00 F.upf
ATOMIC_POSITIONS crystal
Fe 0.0000 0.0000 0.5000
Fe 0.0000 0.5000 0.0000
Fe 0.5000 0.0000 0.0000
Fe 0.5000 0.5000 0.5000
Tc 0.0000 0.0000 0.0000
F 0.0205 0.7190 0.3014
F 0.1896 0.1804 0.3700
F 0.1896 0.8196 0.0092
F 0.2671 0.0760 0.8089
F 0.2671 0.4582 0.1911
F 0.4176 0.7190 0.6986
F 0.5824 0.2810 0.3014
F 0.7329 0.5418 0.8089
F 0.7329 0.9240 0.1911
F 0.8104 0.1804 0.9908
F 0.8104 0.8196 0.6300
F 0.9795 0.2810 0.6986
CELL_PARAMETERS angstrom
-3.8261 3.9397 4.2110
3.8261 -3.9397 4.2110
3.8261 3.9397 -4.2110